A relaxed structure of NpGaSe3, computed with GGA-PBE.

DOS(E_F) in states/eV/cell: 17.30
Crystal system: orthorhombic
Raw formation energy in eV per atom: -0.790
E in eV per atom: -6.07
Magnetic moment in Bohr magnetons per cell: 7.96
V in Å³/f.u.: 160.0

a = 4.086 Å, b = 6.721 Å, c = 12.125 Å
α = 106.09°, β = 90.00°, γ = 90.00°
Sites, in units of the cell vectors:
Ga (0.250, 0.770, 0.244)
Ga (0.750, 0.526, 0.756)
Se (0.250, 0.428, 0.848)
Se (0.250, 0.124, 0.232)
Se (0.250, 0.713, 0.440)
Se (0.750, 0.892, 0.768)
Se (0.750, 0.580, 0.152)
Se (0.750, 0.273, 0.560)
Np (0.250, 0.053, 0.654)
Np (0.750, 0.400, 0.346)